A relaxed Ag5Te3 crystal, computed with PBE-GGA.

Calculated values
The calculation puts the distance to the lowest polymorph of the same formula at 0.00 eV/f.u. As for the crystal system: triclinic. Its space group is P1.

a b c (Å): 6.843 8.445 8.475
angles (deg): 80.60 66.23 66.11
Fractional positions:
Ag 0.000 0.000 0.000
Ag 0.001 0.458 0.538
Ag 0.231 0.000 0.537
Ag 0.250 0.229 0.769
Ag 0.271 0.460 0.997
Ag 0.499 0.460 0.541
Ag 0.502 0.997 0.997
Ag 0.730 0.997 0.540
Ag 0.751 0.228 0.769
Ag 0.770 0.457 0.999
Te 0.000 0.728 0.269
Te 0.056 0.612 0.769
Te 0.440 0.845 0.769
Te 0.500 0.729 0.269
Te 0.557 0.228 0.151
Te 0.939 0.228 0.386

A relaxed Ta3Cr crystal, computed with PBE-GGA.

Calculated values
As for the formation energy: 0.073 eV/atom. As for the crystal system: cubic. Its space group is Fm-3m.

a b c (Å): 4.550 4.550 4.550
angles (deg): 60.00 60.00 60.00
Fractional positions:
Ta 0.000 0.000 0.000
Ta 0.250 0.250 0.250
Ta 0.750 0.750 0.750
Cr 0.500 0.500 0.500

A relaxed Ho3CSe crystal, computed with PBE-GGA.

Calculated values
The calculation puts the distance to the lowest polymorph of the same formula at 0.00 eV/f.u. As for the crystal system: monoclinic. Its space group is C2/c.

a b c (Å): 8.599 8.599 6.431
angles (deg): 96.34 96.34 82.30
Fractional positions:
Ho 0.023 0.185 0.111
Ho 0.133 0.660 0.389
Ho 0.185 0.023 0.611
Ho 0.285 0.495 0.874
Ho 0.340 0.867 0.111
Ho 0.495 0.285 0.374
Ho 0.505 0.715 0.626
Ho 0.660 0.133 0.889
Ho 0.715 0.505 0.126
Ho 0.815 0.977 0.389
Ho 0.867 0.340 0.611
Ho 0.977 0.815 0.889
C 0.079 0.921 0.250
C 0.251 0.749 0.750
C 0.749 0.251 0.250
C 0.921 0.079 0.750
Se 0.174 0.337 0.488
Se 0.337 0.174 0.988
Se 0.663 0.826 0.012
Se 0.826 0.663 0.512

A relaxed Pm2NdAu crystal, computed with PBE-GGA.

Calculated values
As for the formation energy: -0.218 eV/atom. The calculation puts the distance to the lowest polymorph of the same formula at 0.75 eV/f.u. As for the crystal system: tetragonal. Its space group is P4/mmm.

a b c (Å): 4.854 4.854 4.849
angles (deg): 90.00 90.00 90.00
Fractional positions:
Pm 0.000 0.500 0.000
Pm 0.500 0.000 0.000
Nd 0.000 0.000 0.500
Au 0.500 0.500 0.500

A relaxed KScZn2 crystal, computed with PBE-GGA.

Calculated values
As for the formation energy: 0.279 eV/atom. The calculation puts the distance to the lowest polymorph of the same formula at 1.15 eV/f.u. As for the crystal system: cubic. Its space group is Fm-3m.

a b c (Å): 5.142 5.142 5.142
angles (deg): 60.00 60.00 60.00
Fractional positions:
K 0.000 0.000 0.000
Sc 0.500 0.500 0.500
Zn 0.250 0.250 0.250
Zn 0.750 0.750 0.750

A relaxed CsRb2TmCl6 crystal, computed with PBE-GGA.

Calculated values
The calculation puts the distance to the lowest polymorph of the same formula at 0.75 eV/f.u. As for the crystal system: cubic. Its space group is Fm-3m.

a b c (Å): 8.291 8.291 8.291
angles (deg): 60.00 60.00 60.00
Fractional positions:
Cs 0.000 0.000 0.000
Rb 0.250 0.250 0.250
Rb 0.750 0.750 0.750
Tm 0.500 0.500 0.500
Cl 0.278 0.278 0.722
Cl 0.278 0.722 0.278
Cl 0.278 0.722 0.722
Cl 0.722 0.278 0.278
Cl 0.722 0.278 0.722
Cl 0.722 0.722 0.278

A relaxed SbH2I crystal, computed with PBE-GGA.

Calculated values
The calculation puts the distance to the lowest polymorph of the same formula at 0.03 eV/f.u. As for the crystal system: triclinic. Its space group is P1.

a b c (Å): 4.223 6.558 8.607
angles (deg): 70.64 89.83 89.49
Fractional positions:
Sb 0.000 0.000 0.000
Sb 0.497 0.308 0.859
H 0.439 0.867 0.379
H 0.484 0.759 0.373
H 0.944 0.425 0.489
H 0.986 0.537 0.488
I 0.315 0.395 0.148
I 0.824 0.907 0.714

A relaxed TbMgSc2Pd4 crystal, computed with PBE-GGA.

Calculated values
As for the formation energy: -0.833 eV/atom. As for the crystal system: trigonal. Its space group is R-3m.

a b c (Å): 8.248 8.248 8.248
angles (deg): 33.16 33.16 33.16
Fractional positions:
Tb 0.000 0.000 0.000
Mg 0.500 0.500 0.500
Sc 0.244 0.244 0.244
Sc 0.756 0.756 0.756
Pd 0.125 0.125 0.125
Pd 0.380 0.380 0.380
Pd 0.620 0.620 0.620
Pd 0.875 0.875 0.875

A relaxed ZrCrRe2 crystal, computed with PBE-GGA.

Calculated values
As for the formation energy: 0.268 eV/atom. The calculation puts the distance to the lowest polymorph of the same formula at 1.15 eV/f.u. As for the crystal system: trigonal. Its space group is R-3m.

a b c (Å): 9.433 9.433 9.433
angles (deg): 17.09 17.09 17.09
Fractional positions:
Zr 0.000 0.000 0.000
Cr 0.500 0.500 0.500
Re 0.240 0.240 0.240
Re 0.760 0.760 0.760

A relaxed Ba2SiMoS crystal, computed with PBE-GGA.

Calculated values
As for the crystal system: tetragonal. Its space group is P4/mmm.

a b c (Å): 6.220 6.220 4.742
angles (deg): 90.00 90.00 90.00
Fractional positions:
Ba 0.000 0.500 0.000
Ba 0.500 0.000 0.000
Si 0.000 0.000 0.000
Mo 0.000 0.000 0.500
S 0.500 0.500 0.500

A relaxed CoRe3Rh crystal, computed with PBE-GGA.

Calculated values
As for the formation energy: 1.553 eV/atom. The calculation puts the distance to the lowest polymorph of the same formula at 0.00 eV/f.u. As for the crystal system: cubic. Its space group is Pm-3m.

a b c (Å): 4.355 4.355 4.355
angles (deg): 90.00 90.00 90.00
Fractional positions:
Co 0.000 0.000 0.000
Re 0.000 0.000 0.500
Re 0.000 0.500 0.000
Re 0.500 0.000 0.000
Rh 0.500 0.500 0.500

A relaxed Y2TmBi crystal, computed with PBE-GGA.

Calculated values
As for the formation energy: -0.316 eV/atom. The calculation puts the distance to the lowest polymorph of the same formula at 0.28 eV/f.u. As for the crystal system: tetragonal. Its space group is P4/mmm.

a b c (Å): 4.907 4.907 4.798
angles (deg): 90.00 90.00 90.00
Fractional positions:
Y 0.000 0.500 0.000
Y 0.500 0.000 0.000
Tm 0.000 0.000 0.500
Bi 0.500 0.500 0.500

Number 1: total DFT energy (no corrections) -47.543 eV per cell. Number 2: total DFT energy (no corrections) -44.888 eV per cell. Number 3: total DFT energy (no corrections) -123.626 eV per cell. Number 4: total DFT energy (no corrections) -18.420 eV per cell. Number 5: total DFT energy (no corrections) -8.860 eV per cell. Number 6: total DFT energy (no corrections) -39.034 eV per cell. Number 7: total DFT energy (no corrections) -25.361 eV per cell. Number 8: total DFT energy (no corrections) -46.321 eV per cell. Number 9: total DFT energy (no corrections) -41.995 eV per cell. Number 10: total DFT energy (no corrections) -23.898 eV per cell. Number 11: total DFT energy (no corrections) -44.039 eV per cell. Number 12: total DFT energy (no corrections) -22.544 eV per cell.